Record 1
Below is a relaxed La2NpAs3Rh12 crystal, with properties calculated at the PBE-GGA level.

Calculated formation energy   -0.1586 eV per atom

a b c (Å): 7.7272 7.7272 7.7272
angles (deg): 63.74 63.74 63.74
With the nearest neighbours (Å) after each atom.
Positions (direct):
As 0.5000 0.0000 0.0000  6 Rh 2.39-2.41
As 0.0000 0.5000 0.0000  6 Rh 2.39-2.41
As 0.0000 0.0000 0.5000  6 Rh 2.39-2.41
Rh 0.6231 0.1349 0.1349  1 As 2.41, 1 Np 2.50
Rh 0.1349 0.6231 0.1349  1 As 2.41, 1 Np 2.50
Rh 0.8651 0.8651 0.3769  1 As 2.41, 1 Np 2.50
Rh 0.3769 0.8651 0.8651  1 As 2.41, 1 Np 2.50
Rh 0.3606 0.3606 0.8962  2 As 2.39
Rh 0.6394 0.1038 0.6394  2 As 2.39
Rh 0.3606 0.8962 0.3606  2 As 2.39
Rh 0.8651 0.3769 0.8651  1 As 2.41, 1 Np 2.50
Rh 0.1349 0.1349 0.6231  1 As 2.41, 1 Np 2.50
Rh 0.1038 0.6394 0.6394  2 As 2.39
Rh 0.6394 0.6394 0.1038  2 As 2.39
Rh 0.8962 0.3606 0.3606  2 As 2.39
La 0.3970 0.3970 0.3970  6 Rh 2.78-2.94
La 0.6030 0.6030 0.6030  6 Rh 2.78-2.94
Np 0.0000 0.0000 0.0000  6 Rh 2.50

Record 2
Below is a relaxed La2SmNpAs4 crystal, with properties calculated at the PBE-GGA level.

Calculated formation energy   -1.3204 eV per atom

a b c (Å): 4.2595 7.3849 7.3985
angles (deg): 109.30 90.00 90.00
With the nearest neighbours (Å) after each atom.
Positions (direct):
La 0.0000 0.5000 0.5000  6 As 3.05
La 0.5000 0.0000 0.5000  6 As 3.09-3.10
As 0.5000 0.2516 0.2380  1 Np 2.93, 2 Sm 2.99, 3 La 3.05-3.10
As 0.0000 0.2591 0.7649  2 Np 2.95, 1 Sm 2.98, 3 La 3.05-3.09
As 0.0000 0.7409 0.2351  2 Np 2.95, 1 Sm 2.98, 3 La 3.05-3.09
As 0.5000 0.7484 0.7620  1 Np 2.93, 2 Sm 2.99, 3 La 3.05-3.10
Sm 0.0000 0.0000 0.0000  6 As 2.98-2.99
Np 0.5000 0.5000 0.0000  6 As 2.93-2.95

Computed total magnetic moment (Bohr magnetons per cell) in order:
0.93; 3.78
Computed E_tot (eV per atom) in order:
-7.101; -7.084